(1)
# CaCdGa2Au2 | Alexandria via LeMat-Bulk | PBE | optimized geometry
data_CaCdGa2Au2
_chemical_formula_sum 'Ca1 Cd1 Ga2 Au2'
_cell_length_a 4.5449
_cell_length_b 4.5449
_cell_length_c 6.9730
_cell_angle_alpha 90.00
_cell_angle_beta 90.00
_cell_angle_gamma 120.00
_symmetry_space_group_name_H-M 'P -3 m 1'
_symmetry_Int_Tables_number 164
_symmetry_space_group_name_Hall '-P 3 2"'
loop_
_atom_site_label
_atom_site_type_symbol
_atom_site_fract_x
_atom_site_fract_y
_atom_site_fract_z
Ca1 Ca 0.0000 0.0000 0.0000
Cd1 Cd 0.0000 0.0000 0.5000
Ga1 Ga 0.3333 0.6667 0.7306
Au1 Au 0.3333 0.6667 0.2812
# Raw total energy ... -3.05 eV/atom
# Formation enthalpy at 0 K ... -461 meV per atom

(2)
# Ca2CdGaAu6 | Alexandria via LeMat-Bulk | PBE | optimized geometry
data_Ca2CdGaAu6
_chemical_formula_sum 'Ca8 Cd4 Ga4 Au24'
_cell_length_a 10.0988
_cell_length_b 10.0988
_cell_length_c 10.0988
_cell_angle_alpha 90.00
_cell_angle_beta 90.00
_cell_angle_gamma 90.00
_symmetry_space_group_name_H-M 'F m -3 m'
_symmetry_Int_Tables_number 225
_symmetry_space_group_name_Hall '-F 4 2 3'
loop_
_atom_site_label
_atom_site_type_symbol
_atom_site_fract_x
_atom_site_fract_y
_atom_site_fract_z
Ca1 Ca 0.2500 0.2500 0.2500
Cd1 Cd 0.0000 0.0000 0.0000
Ga1 Ga 0.0000 0.0000 0.5000
Au1 Au 0.0000 0.0000 0.2586
# Raw total energy ... -2.94 eV/atom
# Formation enthalpy at 0 K ... -175 meV per atom

(3)
# CaCd2Ga2Au2 | Alexandria via LeMat-Bulk | PBE | optimized geometry
data_CaCd2Ga2Au2
_chemical_formula_sum 'Ca3 Cd6 Ga6 Au6'
_cell_length_a 4.5686
_cell_length_b 4.5686
_cell_length_c 24.6902
_cell_angle_alpha 90.00
_cell_angle_beta 90.00
_cell_angle_gamma 120.00
_symmetry_space_group_name_H-M 'R -3 m'
_symmetry_Int_Tables_number 166
_symmetry_space_group_name_Hall '-R 3 2"'
loop_
_atom_site_label
_atom_site_type_symbol
_atom_site_fract_x
_atom_site_fract_y
_atom_site_fract_z
Ca1 Ca 0.0000 0.0000 0.0000
Cd1 Cd 0.0000 0.0000 0.1355
Ga1 Ga 0.0000 0.0000 0.4023
Au1 Au 0.0000 0.0000 0.2562
# Raw total energy ... -2.74 eV/atom
# Formation enthalpy at 0 K ... -394 meV per atom

(4)
# CaCd2GaAu5 | Alexandria via LeMat-Bulk | PBE | optimized geometry
data_CaCd2GaAu5
_chemical_formula_sum 'Ca2 Cd4 Ga2 Au10'
_cell_length_a 4.9214
_cell_length_b 5.7364
_cell_length_c 14.8974
_cell_angle_alpha 90.00
_cell_angle_beta 90.00
_cell_angle_gamma 90.00
_symmetry_space_group_name_H-M 'I m m m'
_symmetry_Int_Tables_number 71
_symmetry_space_group_name_Hall '-I 2 2'
loop_
_atom_site_label
_atom_site_type_symbol
_atom_site_fract_x
_atom_site_fract_y
_atom_site_fract_z
Ca1 Ca 0.0000 0.0000 0.0000
Cd1 Cd 0.0000 0.5000 0.1925
Ga1 Ga 0.0000 0.0000 0.5000
Au1 Au 0.0000 0.2611 0.3582
Au2 Au 0.0000 0.5000 0.0000
# Raw total energy ... -2.82 eV/atom
# Formation enthalpy at 0 K ... -242 meV per atom

(5)
# CaGdCdAu | Alexandria via LeMat-Bulk | PBE | optimized geometry
data_CaGdCdAu
_chemical_formula_sum 'Ca4 Gd4 Cd4 Au4'
_cell_length_a 7.4082
_cell_length_b 7.4082
_cell_length_c 7.4082
_cell_angle_alpha 90.00
_cell_angle_beta 90.00
_cell_angle_gamma 90.00
_symmetry_space_group_name_H-M 'F -4 3 m'
_symmetry_Int_Tables_number 216
_symmetry_space_group_name_Hall 'F -4 2 3'
loop_
_atom_site_label
_atom_site_type_symbol
_atom_site_fract_x
_atom_site_fract_y
_atom_site_fract_z
Ca1 Ca 0.0000 0.0000 0.0000
Gd1 Gd 0.0000 0.0000 0.5000
Cd1 Cd 0.2500 0.2500 0.2500
Au1 Au 0.2500 0.2500 0.7500
# Raw total energy ... -5.62 eV/atom
# Formation enthalpy at 0 K ... -551 meV per atom

(6)
# Ca2CdGe3Au4 | Alexandria via LeMat-Bulk | PBE | optimized geometry
data_Ca2CdGe3Au4
_chemical_formula_sum 'Ca2 Cd1 Ge3 Au4'
_cell_length_a 4.4526
_cell_length_b 4.4526
_cell_length_c 11.0413
_cell_angle_alpha 90.00
_cell_angle_beta 90.00
_cell_angle_gamma 90.00
_symmetry_space_group_name_H-M 'P -4 m 2'
_symmetry_Int_Tables_number 115
loop_
_symmetry_equiv_pos_as_xyz
'x,y,z'
'y,-x,-z'
'-x,-y,z'
'-y,x,-z'
'-x,y,z'
'-y,-x,-z'
'x,-y,z'
'y,x,-z'
loop_
_atom_site_label
_atom_site_type_symbol
_atom_site_fract_x
_atom_site_fract_y
_atom_site_fract_z
Ca1 Ca 0.0000 0.5000 0.2350
Cd1 Cd 0.0000 0.0000 0.5000
Ge1 Ge 0.0000 0.5000 0.8718
Ge2 Ge 0.5000 0.5000 0.5000
Au1 Au 0.0000 0.0000 0.0000
Au2 Au 0.0000 0.5000 0.6467
Au3 Au 0.5000 0.5000 0.0000
# Raw total energy ... -3.63 eV/atom
# Formation enthalpy at 0 K ... -440 meV per atom

(7)
# CaCd2GeAu2 | Alexandria via LeMat-Bulk | PBE | optimized geometry
data_CaCd2GeAu2
_chemical_formula_sum 'Ca2 Cd4 Ge2 Au4'
_cell_length_a 5.4359
_cell_length_b 5.4359
_cell_length_c 11.0554
_cell_angle_alpha 90.00
_cell_angle_beta 90.00
_cell_angle_gamma 90.00
_symmetry_space_group_name_H-M 'I 4/m m m'
_symmetry_Int_Tables_number 139
_symmetry_space_group_name_Hall '-I 4 2'
loop_
_atom_site_label
_atom_site_type_symbol
_atom_site_fract_x
_atom_site_fract_y
_atom_site_fract_z
Ca1 Ca 0.0000 0.0000 0.0000
Cd1 Cd 0.0000 0.5000 0.2500
Ge1 Ge 0.0000 0.0000 0.5000
Au1 Au 0.0000 0.0000 0.2760
# Raw total energy ... -2.57 eV/atom
# Formation enthalpy at 0 K ... -68 meV per atom

(8)
# Ca2CdGe4Au3 | Alexandria via LeMat-Bulk | PBE | optimized geometry
data_Ca2CdGe4Au3
_chemical_formula_sum 'Ca2 Cd1 Ge4 Au3'
_cell_length_a 4.3918
_cell_length_b 4.3918
_cell_length_c 11.2267
_cell_angle_alpha 90.00
_cell_angle_beta 90.00
_cell_angle_gamma 90.00
_symmetry_space_group_name_H-M 'P -4 m 2'
_symmetry_Int_Tables_number 115
loop_
_symmetry_equiv_pos_as_xyz
'x,y,z'
'y,-x,-z'
'-x,-y,z'
'-y,x,-z'
'-x,y,z'
'-y,-x,-z'
'x,-y,z'
'y,x,-z'
loop_
_atom_site_label
_atom_site_type_symbol
_atom_site_fract_x
_atom_site_fract_y
_atom_site_fract_z
Ca1 Ca 0.0000 0.5000 0.2492
Cd1 Cd 0.5000 0.5000 0.0000
Ge1 Ge 0.0000 0.0000 0.5000
Ge2 Ge 0.0000 0.5000 0.8571
Ge3 Ge 0.5000 0.5000 0.5000
Au1 Au 0.0000 0.0000 0.0000
Au2 Au 0.0000 0.5000 0.6348
# Raw total energy ... -3.73 eV/atom
# Formation enthalpy at 0 K ... -410 meV per atom

(9)
# CaCd2GeAu4 | Alexandria via LeMat-Bulk | PBE | optimized geometry
data_CaCd2GeAu4
_chemical_formula_sum 'Ca3 Cd6 Ge3 Au12'
_cell_length_a 4.8494
_cell_length_b 4.8494
_cell_length_c 24.2137
_cell_angle_alpha 90.00
_cell_angle_beta 90.00
_cell_angle_gamma 120.00
_symmetry_space_group_name_H-M 'R -3 m'
_symmetry_Int_Tables_number 166
_symmetry_space_group_name_Hall '-R 3 2"'
loop_
_atom_site_label
_atom_site_type_symbol
_atom_site_fract_x
_atom_site_fract_y
_atom_site_fract_z
Ca1 Ca 0.0000 0.0000 0.0000
Cd1 Cd 0.0000 0.0000 0.2541
Ge1 Ge 0.0000 0.0000 0.5000
Au1 Au 0.0000 0.0000 0.1293
Au2 Au 0.0000 0.0000 0.3845
# Raw total energy ... -2.97 eV/atom
# Formation enthalpy at 0 K ... -272 meV per atom

(10)
# CaCdGeAu | Alexandria via LeMat-Bulk | PBE | optimized geometry
data_CaCdGeAu
_chemical_formula_sum 'Ca4 Cd4 Ge4 Au4'
_cell_length_a 7.0273
_cell_length_b 7.0273
_cell_length_c 7.0273
_cell_angle_alpha 90.00
_cell_angle_beta 90.00
_cell_angle_gamma 90.00
_symmetry_space_group_name_H-M 'F -4 3 m'
_symmetry_Int_Tables_number 216
_symmetry_space_group_name_Hall 'F -4 2 3'
loop_
_atom_site_label
_atom_site_type_symbol
_atom_site_fract_x
_atom_site_fract_y
_atom_site_fract_z
Ca1 Ca 0.0000 0.0000 0.0000
Cd1 Cd 0.0000 0.0000 0.5000
Ge1 Ge 0.2500 0.2500 0.7500
Au1 Au 0.2500 0.2500 0.2500
# Raw total energy ... -3.07 eV/atom
# Formation enthalpy at 0 K ... -364 meV per atom

(11)
# Ca2CdHAu | Alexandria via LeMat-Bulk | PBE | optimized geometry
data_Ca2CdHAu
_chemical_formula_sum 'Ca2 Cd1 H1 Au1'
_cell_length_a 4.8520
_cell_length_b 4.8520
_cell_length_c 4.3477
_cell_angle_alpha 90.00
_cell_angle_beta 90.00
_cell_angle_gamma 90.00
_symmetry_space_group_name_H-M 'P 4/m m m'
_symmetry_Int_Tables_number 123
_symmetry_space_group_name_Hall '-P 4 2'
loop_
_atom_site_label
_atom_site_type_symbol
_atom_site_fract_x
_atom_site_fract_y
_atom_site_fract_z
Ca1 Ca 0.0000 0.5000 0.0000
Cd1 Cd 0.0000 0.0000 0.5000
H1 H 0.0000 0.0000 0.0000
Au1 Au 0.5000 0.5000 0.5000
# Raw total energy ... -2.74 eV/atom

(12)
# Ca2CdHAu | Alexandria via LeMat-Bulk | PBE | optimized geometry
data_Ca2CdHAu
_chemical_formula_sum 'Ca2 Cd1 H1 Au1'
_cell_length_a 5.2514
_cell_length_b 5.2514
_cell_length_c 3.8247
_cell_angle_alpha 90.00
_cell_angle_beta 90.00
_cell_angle_gamma 90.00
_symmetry_space_group_name_H-M 'P 4/m m m'
_symmetry_Int_Tables_number 123
_symmetry_space_group_name_Hall '-P 4 2'
loop_
_atom_site_label
_atom_site_type_symbol
_atom_site_fract_x
_atom_site_fract_y
_atom_site_fract_z
Ca1 Ca 0.0000 0.5000 0.0000
Cd1 Cd 0.0000 0.0000 0.5000
H1 H 0.5000 0.5000 0.0000
Au1 Au 0.5000 0.5000 0.5000
# Raw total energy ... -2.76 eV/atom